A plane-wave DFT calculation with PBE was carried out for a relaxed KTlAs2 crystal.

Cell: 5.3088 5.3088 5.3088 Å, 60.00 60.00 60.00°
Fractional positions:
K  0.0000  0.0000  0.0000
Tl  0.2500  0.2500  0.2500
As  0.5000  0.5000  0.5000
As  0.7500  0.7500  0.7500

- Total moment: 0.00 μB per cell
- Symmetry: F-43m, No. 216
- Formation energy from the elements: 0.181 eV/atom

A plane-wave DFT calculation with PBE was carried out for a relaxed GaHgMo crystal.

Cell: 2.8826 4.2548 9.2776 Å, 90.00 93.24 90.00°
Fractional positions:
Ga  0.0423  0.2500  0.3086
Ga  0.9577  0.7500  0.6914
Hg  0.0023  0.7500  0.1096
Hg  0.9977  0.2500  0.8904
Mo  0.4056  0.2500  0.5785
Mo  0.5944  0.7500  0.4215

- Total moment: 0.00 μB per cell
- Symmetry: P2_1/m, No. 11
- Formation energy from the elements: 0.166 eV/atom